Entry 1:
# InNiNF2

Crystalline InNiNF2 at its relaxed geometry (PBE with a Hubbard U, the Alexandria database).

a = 3.812 Å, b = 3.812 Å, c = 4.310 Å
α = 90.00°, β = 90.00°, γ = 90.00°
Last column: magnetic moment on the atom in μB.
Fractional positions:
F  0.500  0.000  0.000  0.04
F  0.000  0.500  0.000  0.04
N  0.000  0.000  0.500  -0.04
In  0.500  0.500  0.500  0.00
Ni  0.000  0.000  0.000  1.71

Uncorrected energy   -0.1535 Ha/atom
Offset from the most stable computed form   0.000 eV per atom
ρ   5.981 Mg/m³

***

Entry 2:
# InNiN2F

Crystalline InNiN2F at its relaxed geometry (PBE with a Hubbard U, the Alexandria database).

a = 4.385 Å, b = 4.385 Å, c = 4.335 Å
α = 90.00°, β = 90.00°, γ = 90.00°
Last column: magnetic moment on the atom in μB.
Fractional positions:
F  0.000  0.000  0.500  0.01
N  0.500  0.000  0.000  0.84
N  0.000  0.500  0.000  0.84
Ni  0.500  0.500  0.500  1.56
In  0.000  0.000  0.000  -0.01

Uncorrected energy   -0.1358 Ha/atom
ρ   4.394 Mg/m³

***

Entry 3:
# In2NiNF

Crystalline In2NiNF at its relaxed geometry (PBE with a Hubbard U, the Alexandria database).

a = 4.720 Å, b = 3.661 Å, c = 4.720 Å
α = 90.00°, β = 90.00°, γ = 90.00°
Fractional positions:
F  0.000  0.000  0.000
In  0.500  0.000  0.000
In  0.000  0.000  0.500
N  0.000  0.500  0.000
Ni  0.500  0.500  0.500

Uncorrected energy   -0.0973 Ha/atom
ρ   6.542 Mg/m³

***

Entry 4:
# InNiNF2

Crystalline InNiNF2 at its relaxed geometry (PBE with a Hubbard U, the Alexandria database).

a = 4.221 Å, b = 4.221 Å, c = 4.265 Å
α = 90.00°, β = 90.00°, γ = 90.00°
Last column: magnetic moment on the atom in μB.
Fractional positions:
F  0.500  0.000  0.000  0.00
F  0.000  0.500  0.000  0.00
N  0.000  0.000  0.500  0.49
Ni  0.500  0.500  0.500  1.29
In  0.000  0.000  0.000  -0.01

Uncorrected energy   -0.1404 Ha/atom
Offset from the most stable computed form   0.357 eV per atom
ρ   4.928 Mg/m³